Version w
This record from OQMD describes a geometry-optimized LiZnCuW structure. The functional is PBE.

The structure in CIF format:
```
data_LiZnCuW
_chemical_formula_sum 'Li1 Zn1 Cu1 W1'
_cell_length_a 4.2117
_cell_length_b 4.2117
_cell_length_c 4.2117
_cell_angle_alpha 60.00
_cell_angle_beta 60.00
_cell_angle_gamma 60.00
_space_group_name_H-M_alt 'P 1'
_space_group_IT_number 1
loop_
_space_group_symop_operation_xyz
'x,y,z'
loop_
_atom_site_label
_atom_site_type_symbol
_atom_site_fract_x
_atom_site_fract_y
_atom_site_fract_z
Cu1 Cu 0.7500 0.7500 0.7500
Li1 Li 0.2500 0.2500 0.2500
W1 W 0.5000 0.5000 0.5000
Zn1 Zn 0.0000 0.0000 0.0000
```

## Properties
As for the space group: No. 216.

=====

Version x
This record from OQMD describes a geometry-optimized LiZnCuW structure. The functional is PBE.

The structure in CIF format:
```
data_LiZnCuW
_chemical_formula_sum 'Li1 Zn1 Cu1 W1'
_cell_length_a 4.2271
_cell_length_b 4.2271
_cell_length_c 4.2271
_cell_angle_alpha 60.00
_cell_angle_beta 60.00
_cell_angle_gamma 60.00
_space_group_name_H-M_alt 'P 1'
_space_group_IT_number 1
loop_
_space_group_symop_operation_xyz
'x,y,z'
loop_
_atom_site_label
_atom_site_type_symbol
_atom_site_fract_x
_atom_site_fract_y
_atom_site_fract_z
Cu1 Cu 0.7500 0.7500 0.7500
Li1 Li 0.5000 0.5000 0.5000
W1 W 0.2500 0.2500 0.2500
Zn1 Zn 0.0000 0.0000 0.0000
```

## Properties
As for the space group: No. 216.

=====

Energetically preferred structure: version w | next structure: +64 meV per atom

=====

Version w
This record from OQMD describes a geometry-optimized LuMgCuPb structure. The functional is PBE.

The structure in CIF format:
```
data_LuMgCuPb
_chemical_formula_sum 'Lu1 Mg1 Cu1 Pb1'
_cell_length_a 4.9833
_cell_length_b 4.9833
_cell_length_c 4.9833
_cell_angle_alpha 60.00
_cell_angle_beta 60.00
_cell_angle_gamma 60.00
_space_group_name_H-M_alt 'P 1'
_space_group_IT_number 1
loop_
_space_group_symop_operation_xyz
'x,y,z'
loop_
_atom_site_label
_atom_site_type_symbol
_atom_site_fract_x
_atom_site_fract_y
_atom_site_fract_z
Cu1 Cu 0.7500 0.7500 0.7500
Lu1 Lu 0.5000 0.5000 0.5000
Mg1 Mg 0.2500 0.2500 0.2500
Pb1 Pb 0.0000 0.0000 0.0000
```

## Properties
As for the space group: No. 216.

=====

Version x
This record from OQMD describes a geometry-optimized LuMgCuPb structure. The functional is PBE.

The structure in CIF format:
```
data_LuMgCuPb
_chemical_formula_sum 'Lu1 Mg1 Cu1 Pb1'
_cell_length_a 5.0047
_cell_length_b 5.0047
_cell_length_c 5.0047
_cell_angle_alpha 60.00
_cell_angle_beta 60.00
_cell_angle_gamma 60.00
_space_group_name_H-M_alt 'P 1'
_space_group_IT_number 1
loop_
_space_group_symop_operation_xyz
'x,y,z'
loop_
_atom_site_label
_atom_site_type_symbol
_atom_site_fract_x
_atom_site_fract_y
_atom_site_fract_z
Cu1 Cu 0.7500 0.7500 0.7500
Lu1 Lu 0.2500 0.2500 0.2500
Mg1 Mg 0.5000 0.5000 0.5000
Pb1 Pb 0.0000 0.0000 0.0000
```

## Properties
As for the space group: No. 216.

=====

Energetically preferred structure: version w | next structure: +25 meV per atom

=====

Version w
This record from OQMD describes a geometry-optimized LuMgCuSe3 structure. The functional is PBE.

The structure in CIF format:
```
data_LuMgCuSe3
_chemical_formula_sum 'Lu4 Mg4 Cu4 Se12'
_cell_length_a 3.9008
_cell_length_b 11.1659
_cell_length_c 11.6147
_cell_angle_alpha 90.00
_cell_angle_beta 90.00
_cell_angle_gamma 90.00
_space_group_name_H-M_alt 'P 1'
_space_group_IT_number 1
loop_
_space_group_symop_operation_xyz
'x,y,z'
loop_
_atom_site_label
_atom_site_type_symbol
_atom_site_fract_x
_atom_site_fract_y
_atom_site_fract_z
Cu1 Cu 0.7500 0.7543 0.2107
Cu2 Cu 0.7500 0.2543 0.2893
Cu3 Cu 0.2500 0.7457 0.7107
Cu4 Cu 0.2500 0.2457 0.7893
Lu1 Lu 0.2500 0.4762 0.1937
Lu2 Lu 0.2500 0.9762 0.3063
Lu3 Lu 0.7500 0.0238 0.6937
Lu4 Lu 0.7500 0.5238 0.8063
Mg1 Mg 0.2500 0.8158 0.0072
Mg2 Mg 0.2500 0.3158 0.4928
Mg3 Mg 0.7500 0.6842 0.5072
Mg4 Mg 0.7500 0.1842 0.9928
Se1 Se 0.7500 0.5971 0.0706
Se2 Se 0.7500 0.9496 0.1260
Se3 Se 0.2500 0.2191 0.1614
Se4 Se 0.2500 0.7191 0.3386
Se5 Se 0.7500 0.4496 0.3740
Se6 Se 0.7500 0.0971 0.4294
Se7 Se 0.2500 0.9029 0.5706
Se8 Se 0.2500 0.5504 0.6260
Se9 Se 0.7500 0.2809 0.6614
Se10 Se 0.7500 0.7809 0.8386
Se11 Se 0.2500 0.0504 0.8740
Se12 Se 0.2500 0.4029 0.9294
```

## Properties
As for the space group: No. 62.

=====

Version x
This record from OQMD describes a geometry-optimized LuMgCuSe3 structure. The functional is PBE.

The structure in CIF format:
```
data_LuMgCuSe3
_chemical_formula_sum 'Lu2 Mg2 Cu2 Se6'
_cell_length_a 7.5837
_cell_length_b 3.8260
_cell_length_c 9.1740
_cell_angle_alpha 90.00
_cell_angle_beta 101.36
_cell_angle_gamma 90.00
_space_group_name_H-M_alt 'P 1'
_space_group_IT_number 1
loop_
_space_group_symop_operation_xyz
'x,y,z'
loop_
_atom_site_label
_atom_site_type_symbol
_atom_site_fract_x
_atom_site_fract_y
_atom_site_fract_z
Cu1 Cu 0.0818 0.2500 0.0798
Cu2 Cu 0.9182 0.7500 0.9202
Lu1 Lu 0.3168 0.7500 0.3269
Lu2 Lu 0.6832 0.2500 0.6731
Mg1 Mg 0.7895 0.7500 0.2157
Mg2 Mg 0.2105 0.2500 0.7843
Se1 Se 0.2676 0.7500 0.0159
Se2 Se 0.0569 0.2500 0.3414
Se3 Se 0.5934 0.2500 0.3505
Se4 Se 0.4066 0.7500 0.6495
Se5 Se 0.9431 0.7500 0.6586
Se6 Se 0.7324 0.2500 0.9841
```

## Properties
As for the space group: No. 11.

=====

Energetically preferred structure: version x | next structure: +77 meV per atom

=====

Version w
This record from OQMD describes a geometry-optimized LuMgCuSi structure. The functional is PBE.

The structure in CIF format:
```
data_LuMgCuSi
_chemical_formula_sum 'Lu1 Mg1 Cu1 Si1'
_cell_length_a 4.6415
_cell_length_b 4.6415
_cell_length_c 4.6415
_cell_angle_alpha 60.00
_cell_angle_beta 60.00
_cell_angle_gamma 60.00
_space_group_name_H-M_alt 'P 1'
_space_group_IT_number 1
loop_
_space_group_symop_operation_xyz
'x,y,z'
loop_
_atom_site_label
_atom_site_type_symbol
_atom_site_fract_x
_atom_site_fract_y
_atom_site_fract_z
Cu1 Cu 0.7500 0.7500 0.7500
Lu1 Lu 0.2500 0.2500 0.2500
Mg1 Mg 0.5000 0.5000 0.5000
Si1 Si 0.0000 0.0000 0.0000
```

## Properties
As for the space group: No. 216.

=====

Version x
This record from OQMD describes a geometry-optimized LuMgCuSi structure. The functional is PBE.

The structure in CIF format:
```
data_LuMgCuSi
_chemical_formula_sum 'Lu1 Mg1 Cu1 Si1'
_cell_length_a 4.5931
_cell_length_b 4.5931
_cell_length_c 4.5931
_cell_angle_alpha 60.00
_cell_angle_beta 60.00
_cell_angle_gamma 60.00
_space_group_name_H-M_alt 'P 1'
_space_group_IT_number 1
loop_
_space_group_symop_operation_xyz
'x,y,z'
loop_
_atom_site_label
_atom_site_type_symbol
_atom_site_fract_x
_atom_site_fract_y
_atom_site_fract_z
Cu1 Cu 0.7500 0.7500 0.7500
Lu1 Lu 0.5000 0.5000 0.5000
Mg1 Mg 0.2500 0.2500 0.2500
Si1 Si 0.0000 0.0000 0.0000
```

## Properties
As for the space group: No. 216.

=====

Energetically preferred structure: version w | next structure: +47 meV per atom

=====

Version w
This record from OQMD describes a geometry-optimized LuMgCuSn structure. The functional is PBE.

The structure in CIF format:
```
data_LuMgCuSn
_chemical_formula_sum 'Lu1 Mg1 Cu1 Sn1'
_cell_length_a 4.9139
_cell_length_b 4.9139
_cell_length_c 4.9139
_cell_angle_alpha 60.00
_cell_angle_beta 60.00
_cell_angle_gamma 60.00
_space_group_name_H-M_alt 'P 1'
_space_group_IT_number 1
loop_
_space_group_symop_operation_xyz
'x,y,z'
loop_
_atom_site_label
_atom_site_type_symbol
_atom_site_fract_x
_atom_site_fract_y
_atom_site_fract_z
Cu1 Cu 0.7500 0.7500 0.7500
Lu1 Lu 0.2500 0.2500 0.2500
Mg1 Mg 0.5000 0.5000 0.5000
Sn1 Sn 0.0000 0.0000 0.0000
```

## Properties
As for the space group: No. 216.

=====

Version x
This record from OQMD describes a geometry-optimized LuMgCuSn structure. The functional is PBE.

The structure in CIF format:
```
data_LuMgCuSn
_chemical_formula_sum 'Lu1 Mg1 Cu1 Sn1'
_cell_length_a 4.8788
_cell_length_b 4.8788
_cell_length_c 4.8788
_cell_angle_alpha 60.00
_cell_angle_beta 60.00
_cell_angle_gamma 60.00
_space_group_name_H-M_alt 'P 1'
_space_group_IT_number 1
loop_
_space_group_symop_operation_xyz
'x,y,z'
loop_
_atom_site_label
_atom_site_type_symbol
_atom_site_fract_x
_atom_site_fract_y
_atom_site_fract_z
Cu1 Cu 0.7500 0.7500 0.7500
Lu1 Lu 0.5000 0.5000 0.5000
Mg1 Mg 0.2500 0.2500 0.2500
Sn1 Sn 0.0000 0.0000 0.0000
```

## Properties
As for the space group: No. 216.

=====

Energetically preferred structure: version x | next structure: +31 meV per atom

=====

Version w
This record from OQMD describes a geometry-optimized LuMgCuTe3 structure. The functional is PBE.

The structure in CIF format:
```
data_LuMgCuTe3
_chemical_formula_sum 'Lu4 Mg4 Cu4 Te12'
_cell_length_a 13.6546
_cell_length_b 4.0844
_cell_length_c 11.4621
_cell_angle_alpha 90.00
_cell_angle_beta 90.00
_cell_angle_gamma 90.00
_space_group_name_H-M_alt 'P 1'
_space_group_IT_number 1
loop_
_space_group_symop_operation_xyz
'x,y,z'
loop_
_atom_site_label
_atom_site_type_symbol
_atom_site_fract_x
_atom_site_fract_y
_atom_site_fract_z
Cu1 Cu 0.0028 0.2500 0.0770
Cu2 Cu 0.5028 0.2500 0.4230
Cu3 Cu 0.4972 0.7500 0.5770
Cu4 Cu 0.9972 0.7500 0.9230
Lu1 Lu 0.5016 0.7500 0.1763
Lu2 Lu 0.0016 0.7500 0.3237
Lu3 Lu 0.9984 0.2500 0.6763
Lu4 Lu 0.4984 0.2500 0.8237
Mg1 Mg 0.2049 0.7500 0.0583
Mg2 Mg 0.7049 0.7500 0.4417
Mg3 Mg 0.2951 0.2500 0.5583
Mg4 Mg 0.7951 0.2500 0.9417
Te1 Te 0.3763 0.2500 0.0509
Te2 Te 0.8763 0.7500 0.1106
Te3 Te 0.1444 0.2500 0.2382
Te4 Te 0.6444 0.2500 0.2618
Te5 Te 0.3763 0.7500 0.3894
Te6 Te 0.8763 0.2500 0.4491
Te7 Te 0.1237 0.7500 0.5509
Te8 Te 0.6237 0.2500 0.6106
Te9 Te 0.3556 0.7500 0.7382
Te10 Te 0.8556 0.7500 0.7618
Te11 Te 0.1237 0.2500 0.8894
Te12 Te 0.6237 0.7500 0.9491
```

## Properties
As for the space group: No. 62.

=====

Version x
This record from OQMD describes a geometry-optimized LuMgCuTe3 structure. The functional is PBE.

The structure in CIF format:
```
data_LuMgCuTe3
_chemical_formula_sum 'Lu4 Mg4 Cu4 Te12'
_cell_length_a 11.0850
_cell_length_b 4.0794
_cell_length_c 13.8744
_cell_angle_alpha 90.00
_cell_angle_beta 90.00
_cell_angle_gamma 90.00
_space_group_name_H-M_alt 'P 1'
_space_group_IT_number 1
loop_
_space_group_symop_operation_xyz
'x,y,z'
loop_
_atom_site_label
_atom_site_type_symbol
_atom_site_fract_x
_atom_site_fract_y
_atom_site_fract_z
Cu1 Cu 0.2462 0.2500 0.2266
Cu2 Cu 0.7462 0.2500 0.2734
Cu3 Cu 0.2538 0.7500 0.7266
Cu4 Cu 0.7538 0.7500 0.7734
Lu1 Lu 0.4963 0.7500 0.2483
Lu2 Lu 0.9963 0.7500 0.2517
Lu3 Lu 0.0037 0.2500 0.7483
Lu4 Lu 0.5037 0.2500 0.7517
Mg1 Mg 0.2438 0.7500 0.0281
Mg2 Mg 0.7438 0.7500 0.4719
Mg3 Mg 0.2562 0.2500 0.5281
Mg4 Mg 0.7562 0.2500 0.9719
Te1 Te 0.4239 0.2500 0.1008
Te2 Te 0.0667 0.2500 0.1026
Te3 Te 0.7474 0.7500 0.1497
Te4 Te 0.2474 0.7500 0.3503
Te5 Te 0.5667 0.2500 0.3974
Te6 Te 0.9239 0.2500 0.3992
Te7 Te 0.0761 0.7500 0.6008
Te8 Te 0.4333 0.7500 0.6026
Te9 Te 0.7526 0.2500 0.6497
Te10 Te 0.2526 0.2500 0.8503
Te11 Te 0.9333 0.7500 0.8974
Te12 Te 0.5761 0.7500 0.8992
```

## Properties
As for the space group: No. 62.

=====

Version y
This record from OQMD describes a geometry-optimized LuMgCuTe3 structure. The functional is PBE.

The structure in CIF format:
```
data_LuMgCuTe3
_chemical_formula_sum 'Lu2 Mg2 Cu2 Te6'
_cell_length_a 10.0810
_cell_length_b 10.0810
_cell_length_c 8.1901
_cell_angle_alpha 102.22
_cell_angle_beta 102.22
_cell_angle_gamma 23.38
_space_group_name_H-M_alt 'P 1'
_space_group_IT_number 1
loop_
_space_group_symop_operation_xyz
'x,y,z'
loop_
_atom_site_label
_atom_site_type_symbol
_atom_site_fract_x
_atom_site_fract_y
_atom_site_fract_z
Cu1 Cu 0.5474 0.5474 0.2106
Cu2 Cu 0.4526 0.4526 0.7894
Lu1 Lu 0.1582 0.1582 0.0828
Lu2 Lu 0.8418 0.8418 0.9172
Mg1 Mg 0.8871 0.8871 0.4410
Mg2 Mg 0.1129 0.1129 0.5590
Te1 Te 0.0000 0.0000 0.0000
Te2 Te 0.3210 0.3210 0.1719
Te3 Te 0.6773 0.6773 0.3564
Te4 Te 0.5000 0.5000 0.5000
Te5 Te 0.3227 0.3227 0.6436
Te6 Te 0.6790 0.6790 0.8281
```

## Properties
As for the space group: No. 12.

=====

Version z
This record from OQMD describes a geometry-optimized LuMgCuTe3 structure. The functional is PBE.

The structure in CIF format:
```
data_LuMgCuTe3
_chemical_formula_sum 'Lu4 Mg4 Cu4 Te12'
_cell_length_a 12.0873
_cell_length_b 4.0986
_cell_length_c 12.5366
_cell_angle_alpha 90.00
_cell_angle_beta 90.00
_cell_angle_gamma 90.00
_space_group_name_H-M_alt 'P 1'
_space_group_IT_number 1
loop_
_space_group_symop_operation_xyz
'x,y,z'
loop_
_atom_site_label
_atom_site_type_symbol
_atom_site_fract_x
_atom_site_fract_y
_atom_site_fract_z
Cu1 Cu 0.7885 0.5000 0.2431
Cu2 Cu 0.2885 0.0000 0.2569
Cu3 Cu 0.7115 0.5000 0.7431
Cu4 Cu 0.2115 0.0000 0.7569
Lu1 Lu 0.6883 0.0000 0.0526
Lu2 Lu 0.1883 0.5000 0.4474
Lu3 Lu 0.8117 0.0000 0.5526
Lu4 Lu 0.3117 0.5000 0.9474
Mg1 Mg 0.9630 0.0000 0.2180
Mg2 Mg 0.4630 0.5000 0.2820
Mg3 Mg 0.5370 0.0000 0.7180
Mg4 Mg 0.0370 0.5000 0.7820
Te1 Te 0.8728 0.5000 0.0559
Te2 Te 0.4269 0.0000 0.0958
Te3 Te 0.1585 0.5000 0.2068
Te4 Te 0.6585 0.0000 0.2932
Te5 Te 0.9269 0.5000 0.4042
Te6 Te 0.3728 0.0000 0.4441
Te7 Te 0.6272 0.5000 0.5559
Te8 Te 0.0731 0.0000 0.5958
Te9 Te 0.3415 0.5000 0.7068
Te10 Te 0.8415 0.0000 0.7932
Te11 Te 0.5731 0.5000 0.9042
Te12 Te 0.1272 0.0000 0.9441
```

## Properties
As for the space group: No. 62.

=====

Energetically preferred structure: version w | next structure: +32 meV per atom